# Ba3TlAg2 PBE optimized geometry
# Size of the total moment ... 0.0000 μB/atom
# ΔH_f (0 K) ... -278 meV per atom
# Energy relative to the lowest polymorph listed for this composition ... 7.2 kJ/mol of formula units
# N(E_F) ... 0.9035 states/eV per atom
data_Ba3TlAg2
_space_group_name_H-M_alt 'P -3 m 1'
_space_group_IT_number 164
_space_group_name_Hall '-P 3 2"'
_cell_length_a 5.9260
_cell_length_b 5.9260
_cell_length_c 14.4950
_cell_angle_alpha 90.00
_cell_angle_beta 90.00
_cell_angle_gamma 120.00
loop_
_atom_site_label
_atom_site_type_symbol
_atom_site_fract_x
_atom_site_fract_y
_atom_site_fract_z
Ba1 Ba 0.0000 0.0000 0.2470
Ba2 Ba 0.3333 0.6667 0.4176
Ba3 Ba 0.3333 0.6667 0.9188
Tl1 Tl 0.3333 0.6667 0.6724
Ag1 Ag 0.0000 0.0000 0.0000
Ag2 Ag 0.0000 0.0000 0.5000
Ag3 Ag 0.3333 0.6667 0.1693

=====

# Te2Pd3Se2 PBE optimized geometry
# Size of the total moment ... 0.0000 μB/atom
# Energy relative to the lowest polymorph listed for this composition ... 10.8 kJ/mol of formula units
# N(E_F) ... 0.4403 states/eV per atom
# Uncorrected formation energy ... -263 meV per atom
data_Te2Pd3Se2
_space_group_name_H-M_alt 'C 1 2/m 1'
_space_group_IT_number 12
_cell_length_a 13.0393
_cell_length_b 3.9401
_cell_length_c 6.8180
_cell_angle_alpha 90.00
_cell_angle_beta 108.07
_cell_angle_gamma 90.00
loop_
_space_group_symop_operation_xyz
'x,y,z'
'-x,-y,-z'
'-x,y,-z'
'x,-y,z'
'x+1/2,y+1/2,z'
'-x+1/2,-y+1/2,-z'
'-x+1/2,y+1/2,-z'
'x+1/2,-y+1/2,z'
loop_
_atom_site_label
_atom_site_type_symbol
_atom_site_fract_x
_atom_site_fract_y
_atom_site_fract_z
Te1 Te 0.1292 0.0000 0.3740
Pd1 Pd 0.0000 0.5000 0.5000
Pd2 Pd 0.2358 0.5000 0.2389
Se1 Se 0.1528 0.5000 0.8352

=====

# SrCaTlAg PBE optimized geometry
# Size of the total moment ... 0.0000 μB/atom
# ΔH_f (0 K) ... -330 meV per atom
# Energy relative to the lowest polymorph listed for this composition ... 0.0 kJ/mol of formula units
# N(E_F) ... 0.5800 states/eV per atom
data_SrCaTlAg
_space_group_name_H-M_alt 'F -4 3 m'
_space_group_IT_number 216
_space_group_name_Hall 'F -4 2 3'
_cell_length_a 7.8183
_cell_length_b 7.8183
_cell_length_c 7.8183
_cell_angle_alpha 90.00
_cell_angle_beta 90.00
_cell_angle_gamma 90.00
loop_
_atom_site_label
_atom_site_type_symbol
_atom_site_fract_x
_atom_site_fract_y
_atom_site_fract_z
Sr1 Sr 0.0000 0.0000 0.0000
Ca1 Ca 0.0000 0.0000 0.5000
Tl1 Tl 0.2500 0.2500 0.2500
Ag1 Ag 0.2500 0.2500 0.7500

=====

# Sr3ZnRu2O9 PBE optimized geometry
# Size of the total moment ... 0.0383 μB/atom
# N(E_F) ... 0.5463 states/eV per atom
# Uncorrected formation energy ... -1807 meV per atom
data_Sr3ZnRu2O9
_space_group_name_H-M_alt 'P -3 m 1'
_space_group_IT_number 164
_space_group_name_Hall '-P 3 2"'
_cell_length_a 5.6290
_cell_length_b 5.6290
_cell_length_c 6.8982
_cell_angle_alpha 90.00
_cell_angle_beta 90.00
_cell_angle_gamma 120.00
loop_
_atom_site_label
_atom_site_type_symbol
_atom_site_fract_x
_atom_site_fract_y
_atom_site_fract_z
Sr1 Sr 0.0000 0.0000 0.0000
Sr2 Sr 0.3333 0.6667 0.6509
Zn1 Zn 0.0000 0.0000 0.5000
Ru1 Ru 0.3333 0.6667 0.1617
O1 O 0.0000 0.5000 0.0000
O2 O 0.1718 0.3436 0.3257

=====

# TmZr2Mn PBE optimized geometry
# Size of the total moment ... 0.0001 μB/atom
# ΔH_f (0 K) ... 276 meV per atom
# Energy relative to the lowest polymorph listed for this composition ... 71.0 kJ/mol of formula units
# N(E_F) ... 1.0648 states/eV per atom
data_TmZr2Mn
_space_group_name_H-M_alt 'R -3 m'
_space_group_IT_number 166
_space_group_name_Hall '-R 3 2"'
_cell_length_a 4.5213
_cell_length_b 4.5213
_cell_length_c 14.4311
_cell_angle_alpha 90.00
_cell_angle_beta 90.00
_cell_angle_gamma 120.00
loop_
_atom_site_label
_atom_site_type_symbol
_atom_site_fract_x
_atom_site_fract_y
_atom_site_fract_z
Tm1 Tm 0.0000 0.0000 0.0000
Zr1 Zr 0.0000 0.0000 0.2261
Mn1 Mn 0.0000 0.0000 0.5000

=====

# Nd6Cd2Cu PBE optimized geometry
# Size of the total moment ... 0.0000 μB/atom
# ΔH_f (0 K) ... -71 meV per atom
# N(E_F) ... 1.1246 states/eV per atom
data_Nd6Cd2Cu
_space_group_name_H-M_alt 'P 1 21/c 1'
_space_group_IT_number 14
_cell_length_a 6.4825
_cell_length_b 9.5721
_cell_length_c 10.0204
_cell_angle_alpha 90.00
_cell_angle_beta 117.63
_cell_angle_gamma 90.00
loop_
_space_group_symop_operation_xyz
'x,y,z'
'-x,-y,-z'
'-x,y+1/2,-z+1/2'
'x,-y+1/2,z+1/2'
loop_
_atom_site_label
_atom_site_type_symbol
_atom_site_fract_x
_atom_site_fract_y
_atom_site_fract_z
Nd1 Nd 0.0865 0.1757 0.4781
Nd2 Nd 0.3436 0.6920 0.4512
Nd3 Nd 0.4041 0.0327 0.2859
Cd1 Cd 0.1371 0.0906 0.7829
Cu1 Cu 0.0000 0.0000 0.0000

=====

# BeTlTe3 PBE optimized geometry
# Size of the total moment ... 0.1142 μB/atom
# Energy relative to the lowest polymorph listed for this composition ... 493.5 kJ/mol of formula units
# N(E_F) ... 1.2568 states/eV per atom
# Uncorrected formation energy ... 1170 meV per atom
data_BeTlTe3
_space_group_name_H-M_alt 'P m -3 m'
_space_group_IT_number 221
_space_group_name_Hall '-P 4 2 3'
_cell_length_a 5.7591
_cell_length_b 5.7591
_cell_length_c 5.7591
_cell_angle_alpha 90.00
_cell_angle_beta 90.00
_cell_angle_gamma 90.00
loop_
_atom_site_label
_atom_site_type_symbol
_atom_site_fract_x
_atom_site_fract_y
_atom_site_fract_z
Be1 Be 0.0000 0.0000 0.0000
Tl1 Tl 0.5000 0.5000 0.5000
Te1 Te 0.0000 0.5000 0.5000